# 1
The following is a DFT calculation (PBE) of an optimized crystal structure of Na2BiPb6.

a = 3.5578 Å, b = 9.8600 Å, c = 9.8600 Å
α = 56.07°, β = 78.72°, γ = 78.72°
Sites, in units of the cell vectors:
1 Pb 0.5000 0.6806 0.3194
2 Pb 0.5000 0.3194 0.6806
3 Na 0.1559 0.3527 0.3527
4 Pb 0.3279 0.3473 0.0026
5 Bi 0.0000 0.0000 0.0000
6 Pb 0.3279 0.0026 0.3473
7 Pb 0.6721 0.6527 0.9974
8 Pb 0.6721 0.9974 0.6527
9 Na 0.8441 0.6473 0.6473

Results
Symmetry: C2/m



# 2
The following is a DFT calculation (PBE) of an optimized crystal structure of CaSeSCl2.

a = 5.1565 Å, b = 5.1565 Å, c = 5.7793 Å
α = 90.00°, β = 90.00°, γ = 90.00°
Each line ends with the local moment (μB).
Sites, in units of the cell vectors:
1 Ca 0.0000 0.0000 0.0000  0.00
2 S 0.0000 0.0000 0.5000  -0.37
3 Cl 0.5000 0.0000 0.0000  0.06
4 Cl 0.0000 0.5000 0.0000  0.06
5 Se 0.5000 0.5000 0.5000  1.11

Results
ΔE_f (raw) (eV/atom): -0.4455
Symmetry: P4/mmm



# 3
The following is a DFT calculation (PBE) of an optimized crystal structure of Gd2Cl3.

a = 3.9555 Å, b = 8.0560 Å, c = 9.8044 Å
α = 70.23°, β = 78.40°, γ = 75.76°
Each line ends with the local moment (μB).
Sites, in units of the cell vectors:
1 Gd 0.8617 0.9834 0.2937  6.88
2 Cl 0.6588 0.1870 0.4944  -0.01
3 Cl 0.7750 0.3345 0.1162  -0.01
4 Gd 0.1383 0.0166 0.7063  6.88
5 Cl 0.0470 0.6446 0.2623  -0.02
6 Cl 0.3412 0.8130 0.5056  -0.01
7 Gd 0.4118 0.2276 0.9487  6.95
8 Gd 0.5882 0.7724 0.0513  6.95
9 Cl 0.9530 0.3554 0.7377  -0.02
10 Cl 0.2250 0.6655 0.8838  -0.01

Results
ΔE_f (raw) (eV/atom): -1.8407
Symmetry: C2/m



# 4
The following is a DFT calculation (PBE) of an optimized crystal structure of TlCr2Cu.

a = 8.7330 Å, b = 8.7330 Å, c = 8.7330 Å
α = 20.56°, β = 20.56°, γ = 20.56°
Each line ends with the local moment (μB).
Sites, in units of the cell vectors:
1 Cu 0.2500 0.2500 0.2500  0.18
2 Tl 0.7500 0.7500 0.7500  -0.07
3 Cr 0.9914 0.9914 0.9914  3.43
4 Cr 0.5086 0.5086 0.5086  3.43

Results
Symmetry: R-3m



# 5
The following is a DFT calculation (PBE) of an optimized crystal structure of SiSbS3.

a = 4.5534 Å, b = 4.5534 Å, c = 4.5534 Å
α = 90.00°, β = 90.00°, γ = 90.00°
Sites, in units of the cell vectors:
1 S 0.0000 0.0000 0.5000
2 Sb 0.5000 0.5000 0.5000
3 S 0.0000 0.5000 0.0000
4 Si 0.0000 0.0000 0.0000
5 S 0.5000 0.0000 0.0000

Results
ΔE_f (raw) (eV/atom): 0.1174
Symmetry: Pm-3m



# 6
The following is a DFT calculation (PBE) of an optimized crystal structure of LaScHg3.

a = 3.4970 Å, b = 4.9322 Å, c = 14.6518 Å
α = 90.00°, β = 96.85°, γ = 90.00°
Each line ends with the local moment (μB).
Sites, in units of the cell vectors:
1 Sc 0.2120 0.7500 0.4241  0.03
2 La 0.0779 0.2500 0.1557  0.10
3 Hg 0.5259 0.7500 0.0517  0.00
4 Hg 0.3112 0.7500 0.6223  0.00
5 Hg 0.4741 0.2500 0.9483  0.00
6 Hg 0.6285 0.7500 0.2571  0.00
7 La 0.9221 0.7500 0.8443  0.10
8 Hg 0.6888 0.2500 0.3777  0.00
9 Sc 0.7880 0.2500 0.5759  0.03
10 Hg 0.3715 0.2500 0.7429  0.00

Results
Symmetry: Cmcm



In eV per atom, the calculated total energy values for the records above are, in order, -3.221; -3.107; -8.581; -5.640; -4.268; -2.856.